First-principles (PBE) data for a relaxed structure of NaV2Br6, as listed in Alexandria.

a b c (Å): 6.630 6.673 6.673
angles (deg): 120.00 90.00 90.00
Site moments in Bohr magnetons follow the coordinates.
Fractional positions:
Na  0.000  0.000  0.000  0.00
V  0.500  0.667  0.333  2.29
V  0.500  0.333  0.667  2.29
Br  0.722  0.637  0.637  -0.03
Br  0.278  0.637  0.000  -0.03
Br  0.278  0.000  0.637  -0.03
Br  0.722  0.363  0.000  -0.03
Br  0.278  0.363  0.363  -0.03
Br  0.722  0.000  0.363  -0.03

Properties
V = 255.65 Å³ per cell
uncorrected formation energy = -9.08 eV/f.u.
magnetic moment = 5.00 μB per formula unit
DOS(E_F) = 11.0 states/eV per cell